A plane-wave DFT calculation with PBE-GGA was carried out for Tb4Pr2Sm2Dy after structural relaxation.

```
Tb4Pr2Sm2Dy
1.0
-0.0887 3.3116 1.5101
-7.7972 -4.0104 3.9476
8.3354 -1.8522 4.5516
Sm Tb Pr Dy
2 4 2 1
Direct
0.1468 0.2936 0.6627
0.8532 0.7064 0.3373
0.4808 0.9615 0.6677
0.5192 0.0385 0.3323
0.8148 0.6295 0.6646
0.1852 0.3705 0.3354
0.3349 0.6698 0.0000
0.6651 0.3302 0.0000
0.0000 0.0000 0.0000
```

Output
Energy of formation, meV per atom: 4
Size of the total moment, μB/cell: 0.0
ρ, Mg/m³: 7.649
Space-group type: C2/m (12)